1.
# FeHF4

FeHF4 after structural relaxation (PBE+U, Alexandria via LeMat-Bulk).

The value obtained for the total DFT energy (no corrections) is -4.8773 eV/atom. The density of states at the Fermi level is 0.0 states/eV per cell.

The structure belongs to space group C2/c (No. 15); the cell edges are 4.9622, 12.9471 and 5.3046 Å and the angles 90.00°, 103.99° and 90.00°. Symmetry generates all atoms from Fe at (0.0000, 0.0620, 0.2500), H at (0.0000, 0.3340, 0.7500), F at (0.2096, 0.0470, 0.6143) and F at (0.2385, 0.3327, 0.8011).



2.
# FeHF3

FeHF3 after structural relaxation (PBE+U, Alexandria via LeMat-Bulk).

The value obtained for the total DFT energy (no corrections) is -4.4087 eV/atom. The density of states at the Fermi level is 0.0 states/eV per cell.

The structure belongs to space group Pm-3m (No. 221); the cell edges are 3.9239, 3.9239 and 3.9239 Å and the angles 90.00°, 90.00° and 90.00°. Symmetry generates all atoms from Fe at (0.0000, 0.0000, 0.0000), H at (0.5000, 0.5000, 0.5000) and F at (0.0000, 0.0000, 0.5000).



3.
# FeHF2

FeHF2 after structural relaxation (PBE+U, Alexandria via LeMat-Bulk).

The value obtained for the total DFT energy (no corrections) is -4.3921 eV/atom. The density of states at the Fermi level is 0.0 states/eV per cell.

The structure belongs to space group C2/m (No. 12); the cell edges are 5.7750, 3.2918 and 6.5508 Å and the angles 90.00°, 107.13° and 90.00°. Symmetry generates all atoms from Fe at (0.0000, 0.0000, 0.0000), H at (0.0000, 0.5000, 0.5000) and F at (0.2106, 0.5000, 0.1466).



4.
# FeHF4

FeHF4 after structural relaxation (PBE+U, Alexandria via LeMat-Bulk).

The value obtained for the total DFT energy (no corrections) is -4.8220 eV/atom. The density of states at the Fermi level is 0.0 states/eV per cell.

The structure belongs to space group P2_1/m (No. 11); the cell edges are 3.8861, 6.2759 and 5.8613 Å and the angles 90.00°, 105.29° and 90.00°. Symmetry generates all atoms from Fe at (0.0295, 0.2500, 0.0904), H at (0.0609, 0.2500, 0.5917), F at (0.0668, 0.5580, 0.1980), F at (0.2110, 0.2500, 0.4841) and F at (0.4598, 0.7500, 0.8855).



5.
# FeHF2

FeHF2 after structural relaxation (PBE+U, Alexandria via LeMat-Bulk).

The value obtained for the total DFT energy (no corrections) is -3.7859 eV/atom. The density of states at the Fermi level is 2.0 states/eV per cell.

The structure belongs to space group R-3m (No. 166, hexagonal axes); the cell edges are 2.6896, 2.6896 and 17.3137 Å and the angles 90.00°, 90.00° and 120.00°. Symmetry generates all atoms from Fe at (0.0000, 0.0000, 0.0000), H at (0.0000, 0.0000, 0.5000) and F at (0.0000, 0.0000, 0.1112).



6.
# Fe3HF

Fe3HF after structural relaxation (PBE+U, Alexandria via LeMat-Bulk).

The value obtained for the total DFT energy (no corrections) is -4.1082 eV/atom. The density of states at the Fermi level is 2.3 states/eV per cell.

The structure belongs to space group Pm-3m (No. 221); the cell edges are 3.8907, 3.8907 and 3.8907 Å and the angles 90.00°, 90.00° and 90.00°. Symmetry generates all atoms from Fe at (0.0000, 0.0000, 0.5000), H at (0.0000, 0.0000, 0.0000) and F at (0.5000, 0.5000, 0.5000).